(1)
# SrPr3Sb4 (GGA-PBE, optimized geometry)
# total moment	0.0	μB per formula unit
# calculated volume	34.57	Å³ per atom
# ΔE_f (raw)	-1.080	eV/atom
data_SrPr3Sb4
_space_group_name_H-M_alt 'P 1'
_space_group_IT_number 1
_space_group_name_Hall 'P 1'
_cell_length_a 7.955
_cell_length_b 7.990
_cell_length_c 9.239
_cell_angle_alpha 90.00
_cell_angle_beta 90.00
_cell_angle_gamma 109.64
loop_
_atom_site_label
_atom_site_type_symbol
_atom_site_fract_x
_atom_site_fract_y
_atom_site_fract_z
Sb1 Sb 0.995 0.748 0.380
Sb2 Sb 0.999 0.260 0.131
Pr1 Pr 0.250 0.500 0.375
Pr2 Pr 0.250 0.500 0.876
Sb3 Sb 0.499 0.260 0.869
Sb4 Sb 0.505 0.252 0.380
Sr1 Sr 0.250 0.000 0.124
Sb5 Sb 0.001 0.740 0.869
Pr3 Pr 0.750 0.500 0.625
Pr4 Pr 0.750 0.000 0.374
Sr2 Sr 0.750 0.000 0.876
Sb6 Sb 0.501 0.740 0.131
Pr5 Pr 0.250 0.000 0.626
Sb7 Sb 0.005 0.252 0.620
Pr6 Pr 0.750 0.500 0.124
Sb8 Sb 0.495 0.748 0.620


(2)
# K2ZrOs (GGA-PBE, optimized geometry)
# excess energy over the best structure of this formula in the dataset	622	meV per atom
# total moment	0.0	μB per formula unit
# E_form	1.0432	eV per atom
# calculated volume	24.63	Å³ per atom
data_K2ZrOs
_space_group_name_H-M_alt 'P 1'
_space_group_IT_number 1
_space_group_name_Hall 'P 1'
_cell_length_a 6.336
_cell_length_b 3.379
_cell_length_c 4.606
_cell_angle_alpha 87.52
_cell_angle_beta 90.00
_cell_angle_gamma 90.00
loop_
_atom_site_label
_atom_site_type_symbol
_atom_site_fract_x
_atom_site_fract_y
_atom_site_fract_z
K1 K 0.000 0.006 0.008
Zr1 Zr 0.500 0.750 0.750
Os1 Os 0.500 0.250 0.250
K2 K 0.000 0.494 0.492


(3)
# MoOsRh2 (GGA-PBE, optimized geometry)
# excess energy over the best structure of this formula in the dataset	164	meV per atom
# total moment	0.0	μB per formula unit
# E_form	-0.0246	eV per atom
# calculated volume	14.65	Å³ per atom
data_MoOsRh2
_space_group_name_H-M_alt 'P 1'
_space_group_IT_number 1
_space_group_name_Hall 'P 1'
_cell_length_a 2.741
_cell_length_b 2.741
_cell_length_c 7.799
_cell_angle_alpha 90.00
_cell_angle_beta 90.00
_cell_angle_gamma 90.00
loop_
_atom_site_label
_atom_site_type_symbol
_atom_site_fract_x
_atom_site_fract_y
_atom_site_fract_z
Mo1 Mo 0.000 0.000 0.496
Os1 Os 0.500 0.500 0.757
Rh1 Rh 0.000 0.000 0.992
Rh2 Rh 0.500 0.500 0.255


(4)
# SiTe2Cl (GGA-PBE, optimized geometry)
# excess energy over the best structure of this formula in the dataset	160	meV per atom
# total moment	0.0	μB per formula unit
# calculated volume	30.93	Å³ per atom
# ΔE_f (raw)	0.073	eV/atom
data_SiTe2Cl
_space_group_name_H-M_alt 'P 1'
_space_group_IT_number 1
_space_group_name_Hall 'P 1'
_cell_length_a 7.430
_cell_length_b 7.430
_cell_length_c 6.906
_cell_angle_alpha 57.45
_cell_angle_beta 57.45
_cell_angle_gamma 90.00
loop_
_atom_site_label
_atom_site_type_symbol
_atom_site_fract_x
_atom_site_fract_y
_atom_site_fract_z
Si1 Si 0.250 0.750 0.500
Cl1 Cl 0.750 0.250 0.500
Te1 Te 0.875 0.815 0.750
Si2 Si 0.500 0.500 0.000
Te2 Te 0.185 0.625 0.250
Te3 Te 0.565 0.125 0.250
Te4 Te 0.375 0.435 0.750
Cl2 Cl 0.000 0.000 0.000